DFT (PBE) results for a geometry-optimized Rb2Sn3Hg5 structure.

Summary:
* crystal system: orthorhombic
* formation energy from the elements: -0.143 eV/atom

a b c (Å): 7.2671 10.1203 10.1203
angles (deg): 74.20 68.96 68.96
Fractional coordinates of all 20 atoms:
Hg  0.0247  0.2253  0.2253
Hg  0.1062  0.0502  0.7375
Hg  0.8938  0.9498  0.2625
Hg  0.5247  0.2253  0.2253
Hg  0.2500  0.5000  0.5000
Hg  0.9753  0.7747  0.7747
Hg  0.3938  0.2625  0.9498
Hg  0.7500  0.5000  0.5000
Hg  0.6062  0.7375  0.0502
Hg  0.4753  0.7747  0.7747
Rb  0.1314  0.6038  0.1333
Rb  0.8686  0.3962  0.8667
Rb  0.6314  0.1333  0.6038
Rb  0.3686  0.8667  0.3962
Sn  0.7500  0.0000  0.0000
Sn  0.8654  0.7438  0.5254
Sn  0.2500  0.0000  0.0000
Sn  0.1346  0.2562  0.4746
Sn  0.6346  0.4746  0.2562
Sn  0.3654  0.5254  0.7438

DFT (PBE) results for a geometry-optimized CuRuW structure.

Summary:
* crystal system: trigonal
* formation energy from the elements: 0.218 eV/atom

a b c (Å): 4.2894 4.2894 2.6925
angles (deg): 90.00 90.00 120.00
Fractional coordinates of all 3 atoms:
W  0.3333  0.6667  0.6380
Ru  0.6667  0.3333  0.3598
Cu  0.0000  0.0000  0.0022

DFT (PBE) results for a geometry-optimized BaLa3Ru structure.

Summary:
* crystal system: monoclinic
* formation energy from the elements: -0.111 eV/atom

a b c (Å): 9.5950 9.9511 4.0752
angles (deg): 90.00 90.02 89.98
Fractional coordinates of all 10 atoms:
La  0.8250  0.9271  0.9435
La  0.4682  0.8757  0.9435
La  0.1734  0.9643  0.4437
La  0.6565  0.5727  0.9433
La  0.9754  0.6447  0.4436
La  0.3329  0.6204  0.4430
Ru  0.1237  0.7899  0.9436
Ru  0.6819  0.7597  0.4434
Ba  0.5417  0.2273  0.4435
Ba  0.0661  0.3082  0.9435

DFT (PBE) results for a geometry-optimized CoTe6Pd2 structure.

Summary:
* energy relative to the elements, uncorrected: -2.53 eV per formula unit
* crystal system: monoclinic

a b c (Å): 3.9739 6.6996 15.0598
angles (deg): 141.20 90.00 107.25
Fractional coordinates of all 9 atoms:
Pd  0.3345  0.6689  0.1697
Pd  0.6655  0.3311  0.8303
Te  0.7129  0.4258  0.6842
Te  0.3996  0.7992  0.0363
Te  0.0650  0.1301  0.3791
Te  0.9350  0.8699  0.6209
Te  0.2871  0.5742  0.3158
Te  0.6004  0.2008  0.9637
Co  0.0000  0.0000  0.5000

DFT (PBE) results for a geometry-optimized Tl2FeMo structure.

Summary:
* crystal system: monoclinic
* formation energy from the elements: 0.842 eV/atom

a b c (Å): 4.5309 2.9779 5.7366
angles (deg): 81.93 90.00 90.00
Last column: magnetic moment on the atom in μB.
Fractional coordinates of all 4 atoms:
Fe  0.5000  0.2500  0.2500  2.70
Mo  0.5000  0.7500  0.7500  0.26
Tl  0.0000  0.0627  0.0037  -0.02
Tl  0.0000  0.4373  0.4963  -0.02

Please write out number 3 again, unchanged.
DFT (PBE) results for a geometry-optimized BaLa3Ru structure.

Summary:
* crystal system: monoclinic
* formation energy from the elements: -0.111 eV/atom

a b c (Å): 9.5950 9.9511 4.0752
angles (deg): 90.00 90.02 89.98
Fractional coordinates of all 10 atoms:
La  0.8250  0.9271  0.9435
La  0.4682  0.8757  0.9435
La  0.1734  0.9643  0.4437
La  0.6565  0.5727  0.9433
La  0.9754  0.6447  0.4436
La  0.3329  0.6204  0.4430
Ru  0.1237  0.7899  0.9436
Ru  0.6819  0.7597  0.4434
Ba  0.5417  0.2273  0.4435
Ba  0.0661  0.3082  0.9435

- Number 2 is which compound?
  CuRuW

Please write out number 4 again, unchanged.
DFT (PBE) results for a geometry-optimized CoTe6Pd2 structure.

Summary:
* energy relative to the elements, uncorrected: -2.53 eV per formula unit
* crystal system: monoclinic

a b c (Å): 3.9739 6.6996 15.0598
angles (deg): 141.20 90.00 107.25
Fractional coordinates of all 9 atoms:
Pd  0.3345  0.6689  0.1697
Pd  0.6655  0.3311  0.8303
Te  0.7129  0.4258  0.6842
Te  0.3996  0.7992  0.0363
Te  0.0650  0.1301  0.3791
Te  0.9350  0.8699  0.6209
Te  0.2871  0.5742  0.3158
Te  0.6004  0.2008  0.9637
Co  0.0000  0.0000  0.5000